*w*
# Ti2RePt, PBEsol geometry, DFT SCAN
# * DOS at the Fermi energy: 0.833 states/eV per atom
data_Ti2RePt
_chemical_formula_sum 'Ti8 Re4 Pt4'
_space_group_name_H-M_alt 'F m -3 m'
_space_group_IT_number 225
_space_group_name_Hall '-F 4 2 3'
_cell_length_a 6.1913
_cell_length_b 6.1913
_cell_length_c 6.1913
_cell_angle_alpha 90.00
_cell_angle_beta 90.00
_cell_angle_gamma 90.00
loop_
_atom_site_label
_atom_site_type_symbol
_atom_site_fract_x
_atom_site_fract_y
_atom_site_fract_z
Ti1 Ti 0.2500 0.2500 0.2500
Re1 Re 0.0000 0.0000 0.0000
Pt1 Pt 0.0000 0.0000 0.5000

*x*
# Ti2RePt, PBEsol geometry, DFT SCAN
# * DOS at the Fermi energy: 0.451 states/eV per atom
data_Ti2RePt
_chemical_formula_sum 'Ti2 Re1 Pt1'
_space_group_name_H-M_alt 'P 4/m m m'
_space_group_IT_number 123
_space_group_name_Hall '-P 4 2'
_cell_length_a 3.1405
_cell_length_b 3.1405
_cell_length_c 6.0490
_cell_angle_alpha 90.00
_cell_angle_beta 90.00
_cell_angle_gamma 90.00
loop_
_atom_site_label
_atom_site_type_symbol
_atom_site_fract_x
_atom_site_fract_y
_atom_site_fract_z
Ti1 Ti 0.0000 0.0000 0.2420
Re1 Re 0.5000 0.5000 0.0000
Pt1 Pt 0.5000 0.5000 0.5000

Least stable = *w*

*w*
# TlRe2Pt, PBEsol geometry, DFT SCAN
# * DOS at the Fermi energy: 0.645 states/eV per atom
data_TlRe2Pt
_chemical_formula_sum 'Tl2 Re4 Pt2'
_space_group_name_H-M_alt 'I -4 m 2'
_space_group_IT_number 119
_space_group_name_Hall 'I -4 -2'
_cell_length_a 4.0302
_cell_length_b 4.0302
_cell_length_c 7.8631
_cell_angle_alpha 90.00
_cell_angle_beta 90.00
_cell_angle_gamma 90.00
loop_
_atom_site_label
_atom_site_type_symbol
_atom_site_fract_x
_atom_site_fract_y
_atom_site_fract_z
Tl1 Tl 0.0000 0.0000 0.0000
Re1 Re 0.0000 0.0000 0.5000
Re2 Re 0.0000 0.5000 0.7500
Pt1 Pt 0.0000 0.5000 0.2500

*x*
# TlRe2Pt, PBEsol geometry, DFT SCAN
# * DOS at the Fermi energy: 0.840 states/eV per atom
data_TlRe2Pt
_chemical_formula_sum 'Tl1 Re2 Pt1'
_space_group_name_H-M_alt 'P 4/m m m'
_space_group_IT_number 123
_space_group_name_Hall '-P 4 2'
_cell_length_a 2.7868
_cell_length_b 2.7868
_cell_length_c 8.3382
_cell_angle_alpha 90.00
_cell_angle_beta 90.00
_cell_angle_gamma 90.00
loop_
_atom_site_label
_atom_site_type_symbol
_atom_site_fract_x
_atom_site_fract_y
_atom_site_fract_z
Tl1 Tl 0.0000 0.0000 0.0000
Re1 Re 0.5000 0.5000 0.2698
Pt1 Pt 0.0000 0.0000 0.5000

Least stable = *x*

*w*
# TlRePt2, PBEsol geometry, DFT SCAN
# * DOS at the Fermi energy: 0.625 states/eV per atom
data_TlRePt2
_chemical_formula_sum 'Tl2 Re2 Pt4'
_space_group_name_H-M_alt 'C 1 2/m 1'
_space_group_IT_number 12
_space_group_name_Hall '-C 2y'
_cell_length_a 9.1480
_cell_length_b 2.8608
_cell_length_c 5.0716
_cell_angle_alpha 90.00
_cell_angle_beta 97.73
_cell_angle_gamma 90.00
loop_
_atom_site_label
_atom_site_type_symbol
_atom_site_fract_x
_atom_site_fract_y
_atom_site_fract_z
Tl1 Tl 0.0000 0.0000 0.0000
Re1 Re 0.0000 0.5000 0.5000
Pt1 Pt 0.2419 0.0000 0.7266

*x*
# TlRePt2, PBEsol geometry, DFT SCAN
# * DOS at the Fermi energy: 0.802 states/eV per atom
data_TlRePt2
_chemical_formula_sum 'Tl2 Re2 Pt4'
_space_group_name_H-M_alt 'C m m m'
_space_group_IT_number 65
_space_group_name_Hall '-C 2 2'
_cell_length_a 5.5766
_cell_length_b 8.3008
_cell_length_c 2.7976
_cell_angle_alpha 90.00
_cell_angle_beta 90.00
_cell_angle_gamma 90.00
loop_
_atom_site_label
_atom_site_type_symbol
_atom_site_fract_x
_atom_site_fract_y
_atom_site_fract_z
Tl1 Tl 0.0000 0.0000 0.0000
Re1 Re 0.0000 0.5000 0.0000
Pt1 Pt 0.2500 0.2500 0.5000

Least stable = *w*

*w*
# RePt2W, PBEsol geometry, DFT SCAN
# * DOS at the Fermi energy: 0.864 states/eV per atom
data_RePt2W
_chemical_formula_sum 'Re4 Pt8 W4'
_space_group_name_H-M_alt 'F -4 3 m'
_space_group_IT_number 216
_space_group_name_Hall 'F -4 2 3'
_cell_length_a 6.2407
_cell_length_b 6.2407
_cell_length_c 6.2407
_cell_angle_alpha 90.00
_cell_angle_beta 90.00
_cell_angle_gamma 90.00
loop_
_atom_site_label
_atom_site_type_symbol
_atom_site_fract_x
_atom_site_fract_y
_atom_site_fract_z
Re1 Re 0.0000 0.0000 0.0000
Pt1 Pt 0.0000 0.0000 0.5000
Pt2 Pt 0.2500 0.2500 0.7500
W1 W 0.2500 0.2500 0.2500

*x*
# RePt2W, PBEsol geometry, DFT SCAN
# * DOS at the Fermi energy: 0.892 states/eV per atom
data_RePt2W
_chemical_formula_sum 'Re2 Pt4 W2'
_space_group_name_H-M_alt 'C 1 2/m 1'
_space_group_IT_number 12
_space_group_name_Hall '-C 2y'
_cell_length_a 9.2215
_cell_length_b 2.7568
_cell_length_c 4.7600
_cell_angle_alpha 90.00
_cell_angle_beta 100.05
_cell_angle_gamma 90.00
loop_
_atom_site_label
_atom_site_type_symbol
_atom_site_fract_x
_atom_site_fract_y
_atom_site_fract_z
Re1 Re 0.0000 0.0000 0.0000
Pt1 Pt 0.2489 0.5000 0.2481
W1 W 0.0000 0.5000 0.5000

*y*
# RePt2W, PBEsol geometry, DFT SCAN
# * DOS at the Fermi energy: 0.877 states/eV per atom
data_RePt2W
_chemical_formula_sum 'Re3 Pt6 W3'
_space_group_name_H-M_alt 'R -3 m'
_space_group_IT_number 166
_space_group_name_Hall '-R 3 2"'
_cell_length_a 2.7535
_cell_length_b 2.7535
_cell_length_c 27.2238
_cell_angle_alpha 90.00
_cell_angle_beta 90.00
_cell_angle_gamma 120.00
loop_
_atom_site_label
_atom_site_type_symbol
_atom_site_fract_x
_atom_site_fract_y
_atom_site_fract_z
Re1 Re 0.0000 0.0000 0.0000
Pt1 Pt 0.0000 0.0000 0.2505
W1 W 0.0000 0.0000 0.5000

*z*
# RePt2W, PBEsol geometry, DFT SCAN
# * DOS at the Fermi energy: 0.918 states/eV per atom
data_RePt2W
_chemical_formula_sum 'Re3 Pt6 W3'
_space_group_name_H-M_alt 'R 3 m'
_space_group_IT_number 160
_space_group_name_Hall 'R 3 -2"'
_cell_length_a 2.7562
_cell_length_b 2.7562
_cell_length_c 27.3775
_cell_angle_alpha 90.00
_cell_angle_beta 90.00
_cell_angle_gamma 120.00
loop_
_atom_site_label
_atom_site_type_symbol
_atom_site_fract_x
_atom_site_fract_y
_atom_site_fract_z
Re1 Re 0.0000 0.0000 0.0000
Pt1 Pt 0.0000 0.0000 0.2529
Pt2 Pt 0.0000 0.0000 0.4995
W1 W 0.0000 0.0000 0.7518

Least stable = *w*

*w*
# ZrRe2Pt, PBEsol geometry, DFT SCAN
# * DOS at the Fermi energy: 0.808 states/eV per atom
data_ZrRe2Pt
_chemical_formula_sum 'Zr1 Re2 Pt1'
_space_group_name_H-M_alt 'P 4/m m m'
_space_group_IT_number 123
_space_group_name_Hall '-P 4 2'
_cell_length_a 3.3449
_cell_length_b 3.3449
_cell_length_c 5.8306
_cell_angle_alpha 90.00
_cell_angle_beta 90.00
_cell_angle_gamma 90.00
loop_
_atom_site_label
_atom_site_type_symbol
_atom_site_fract_x
_atom_site_fract_y
_atom_site_fract_z
Zr1 Zr 0.0000 0.0000 0.0000
Re1 Re 0.5000 0.5000 0.2748
Pt1 Pt 0.0000 0.0000 0.5000

*x*
# ZrRe2Pt, PBEsol geometry, DFT SCAN
# * DOS at the Fermi energy: 0.730 states/eV per atom
data_ZrRe2Pt
_chemical_formula_sum 'Zr2 Re4 Pt2'
_space_group_name_H-M_alt 'C 1 2/m 1'
_space_group_IT_number 12
_space_group_name_Hall '-C 2y'
_cell_length_a 5.4105
_cell_length_b 9.4530
_cell_length_c 2.7106
_cell_angle_alpha 90.00
_cell_angle_beta 113.11
_cell_angle_gamma 90.00
loop_
_atom_site_label
_atom_site_type_symbol
_atom_site_fract_x
_atom_site_fract_y
_atom_site_fract_z
Zr1 Zr 0.0000 0.0000 0.0000
Re1 Re 0.2500 0.2500 0.5000
Pt1 Pt 0.0000 0.5000 0.0000

*y*
# ZrRe2Pt, PBEsol geometry, DFT SCAN
# * DOS at the Fermi energy: 0.722 states/eV per atom
data_ZrRe2Pt
_chemical_formula_sum 'Zr2 Re4 Pt2'
_space_group_name_H-M_alt 'I m m 2'
_space_group_IT_number 44
_space_group_name_Hall 'I 2 -2'
_cell_length_a 3.9136
_cell_length_b 4.1922
_cell_length_c 7.7713
_cell_angle_alpha 90.00
_cell_angle_beta 90.00
_cell_angle_gamma 90.00
loop_
_atom_site_label
_atom_site_type_symbol
_atom_site_fract_x
_atom_site_fract_y
_atom_site_fract_z
Zr1 Zr 0.0000 0.0000 0.0000
Re1 Re 0.0000 0.0000 0.4834
Re2 Re 0.0000 0.5000 0.7533
Pt1 Pt 0.0000 0.5000 0.2414

Least stable = *w*

*w*
# Ru2PtRh, PBEsol geometry, DFT SCAN
# * DOS at the Fermi energy: 1.131 states/eV per atom
data_Ru2PtRh
_chemical_formula_sum 'Ru4 Pt2 Rh2'
_space_group_name_H-M_alt 'C m m m'
_space_group_IT_number 65
_space_group_name_Hall '-C 2 2'
_cell_length_a 5.3401
_cell_length_b 7.6868
_cell_length_c 2.6733
_cell_angle_alpha 90.00
_cell_angle_beta 90.00
_cell_angle_gamma 90.00
loop_
_atom_site_label
_atom_site_type_symbol
_atom_site_fract_x
_atom_site_fract_y
_atom_site_fract_z
Ru1 Ru 0.2500 0.2500 0.0000
Pt1 Pt 0.0000 0.0000 0.5000
Rh1 Rh 0.0000 0.5000 0.5000

*x*
# Ru2PtRh, PBEsol geometry, DFT SCAN
# * DOS at the Fermi energy: 0.959 states/eV per atom
data_Ru2PtRh
_chemical_formula_sum 'Ru8 Pt4 Rh4'
_space_group_name_H-M_alt 'F -4 3 m'
_space_group_IT_number 216
_space_group_name_Hall 'F -4 2 3'
_cell_length_a 6.1041
_cell_length_b 6.1041
_cell_length_c 6.1041
_cell_angle_alpha 90.00
_cell_angle_beta 90.00
_cell_angle_gamma 90.00
loop_
_atom_site_label
_atom_site_type_symbol
_atom_site_fract_x
_atom_site_fract_y
_atom_site_fract_z
Ru1 Ru 0.0000 0.0000 0.0000
Ru2 Ru 0.2500 0.2500 0.2500
Pt1 Pt 0.0000 0.0000 0.5000
Rh1 Rh 0.2500 0.2500 0.7500

Least stable = *x*